No. 1
## Pa2SiS (PBE)

Data for an optimized crystal structure of Pa2SiS.

Geometry as extended XYZ:
```
16
Lattice="-0.341 -3.431 -5.885 -3.431 -3.481 4.984 -4.866 7.388 -1.451" Properties=species:S:1:pos:R:3 pbc="T T T"
Pa -6.013 2.532 -3.172
Pa -7.520 2.609 2.336
Pa -2.624 -2.057 0.821
Pa -1.118 -2.134 -4.688
Pa -4.495 -2.843 -2.660
Pa -6.016 -0.142 -0.194
Pa -4.143 3.318 0.309
Pa -2.622 0.617 -2.157
Si -3.382 3.339 -2.440
Si -1.851 -2.107 -1.928
Si -5.255 -2.864 0.088
Si -6.786 2.582 -0.424
S -5.188 2.576 -5.843
S -3.449 -2.101 3.491
S -3.422 0.623 0.524
S -5.215 -0.148 -2.876
```

For the density of states at the Fermi level, the calculation gives 17.9 states/eV per cell. Its formation energy from raw total energies is -1.03 eV per atom. Its polymorph energy (0 for the lowest one) is 0.000 eV/atom. Its space group is C2/c (15).

***

No. 2
## Pa3SiS2 (PBE)

Data for an optimized crystal structure of Pa3SiS2.

Geometry as extended XYZ:
```
6
Lattice="-0.140 1.720 -3.697 2.867 -4.316 -2.116 -6.311 -1.453 1.815" Properties=species:S:1:pos:R:3 pbc="T T T"
Pa -3.248 -1.806 -0.717
Pa 0.000 0.000 0.000
Pa -0.336 -2.243 -3.282
Si 1.434 -2.158 -1.058
S -1.690 -0.041 -2.206
S -1.894 -4.009 -1.793
```

For the density of states at the Fermi level, the calculation gives 8.3 states/eV per cell. Its formation energy from raw total energies is -1.23 eV per atom. Its space group is Immm (71).

***

No. 3
## Pa4SiS3 (PBE)

Data for an optimized crystal structure of Pa4SiS3.

Geometry as extended XYZ:
```
8
Lattice="-4.607 2.334 -2.128 -3.077 -4.165 2.094 -0.712 2.900 4.721" Properties=species:S:1:pos:R:3 pbc="T T T"
Si 0.000 0.000 0.000
Pa -2.303 1.167 -1.064
Pa -1.539 -2.082 1.047
Pa -0.356 1.450 2.360
Pa -4.198 0.534 2.343
S -1.895 -0.633 3.407
S -2.660 2.617 1.296
S -3.842 -0.916 -0.017
```

For the density of states at the Fermi level, the calculation gives 14.3 states/eV per cell. Its formation energy from raw total energies is -1.31 eV per atom. Its space group is Pm-3m (221).

***

No. 4
## Pa2SiS (PBE)

Data for an optimized crystal structure of Pa2SiS.

Geometry as extended XYZ:
```
4
Lattice="3.792 0.000 0.000 1.896 3.284 0.000 1.896 1.095 7.286" Properties=species:S:1:pos:R:3 pbc="T T T"
Pa 1.896 1.095 5.519
Pa 1.896 1.095 1.760
Si 5.688 3.284 7.271
S 3.792 2.189 3.664
```

For the density of states at the Fermi level, the calculation gives 5.9 states/eV per cell. Its formation energy from raw total energies is -0.84 eV per atom. Its polymorph energy (0 for the lowest one) is 0.183 eV/atom. Its space group is R3m (160).

***

No. 5
## Pa5SiS4 (PBE)

Data for an optimized crystal structure of Pa5SiS4.

Geometry as extended XYZ:
```
10
Lattice="4.008 0.000 -0.773 -0.287 5.359 -1.488 -0.136 -0.106 10.070" Properties=species:S:1:pos:R:3 pbc="T T T"
Pa 2.363 0.536 1.473
Pa 3.041 1.548 4.989
Pa 0.544 3.706 2.820
Pa -0.144 2.680 -0.744
Pa 1.222 4.718 6.335
Si 0.000 0.000 0.000
S 1.380 2.060 7.154
S 2.885 4.209 4.183
S 0.699 1.044 3.626
S 2.205 3.194 0.655
```

For the density of states at the Fermi level, the calculation gives 15.7 states/eV per cell. Its formation energy from raw total energies is -1.37 eV per atom. Its space group is Immm (71).

***

No. 6
## SrPa2SiS8 (PBE)

Data for an optimized crystal structure of SrPa2SiS8.

Geometry as extended XYZ:
```
12
Lattice="-0.395 4.437 4.334 -4.108 -2.866 3.314 5.999 -3.648 4.282" Properties=species:S:1:pos:R:3 pbc="T T T"
Sr 2.999 -1.824 2.141
Pa 2.305 -1.985 7.076
Pa -0.809 -0.092 4.854
Si 0.000 0.000 0.000
S -2.076 -2.278 4.094
S 2.728 -2.837 9.556
S -0.053 2.406 5.249
S 3.572 0.202 7.837
S -1.232 0.760 2.374
S 1.548 -4.482 6.681
S -0.159 -0.983 7.284
S 1.655 -1.093 4.647
```

Its formation energy from raw total energies is -1.22 eV per atom. Its space group is P2/m (10).

***

No. 7
## PaTl2SiS6 (PBE)

Data for an optimized crystal structure of PaTl2SiS6.

Geometry as extended XYZ:
```
10
Lattice="6.939 0.000 0.000 3.469 6.009 0.000 3.469 2.003 5.665" Properties=species:S:1:pos:R:3 pbc="T T T"
Pa 10.408 6.009 3.125
Tl 6.937 4.007 1.706
Tl 3.470 2.002 4.541
Si 3.469 2.003 0.292
S 5.096 1.074 1.618
S 1.850 1.060 1.618
S 3.460 3.878 1.617
S 8.558 4.949 4.632
S 6.947 2.132 4.633
S 5.312 4.935 4.631
```

For the density of states at the Fermi level, the calculation gives 5.1 states/eV per cell. Its formation energy from raw total energies is -0.65 eV per atom. Its space group is R-3 (148).

***

No. 8
## Sm5PaS6 (PBE)

Data for an optimized crystal structure of Sm5PaS6.

Geometry as extended XYZ:
```
12
Lattice="-6.164 -2.942 1.029 0.856 -6.139 3.049 0.075 -0.456 6.887" Properties=species:S:1:pos:R:3 pbc="T T T"
S -4.561 -2.872 3.274
S -0.977 -4.503 4.305
S -1.341 -2.227 0.997
S -3.967 -6.855 3.080
S -4.255 -5.034 6.660
S -0.672 -6.666 7.691
Pa 0.000 0.000 0.000
Sm -2.884 -2.833 5.543
Sm 0.311 -2.201 3.306
Sm -2.654 -4.541 2.039
Sm 0.621 -4.393 6.630
Sm -2.348 -6.704 5.422
```

For the density of states at the Fermi level, the calculation gives 8.1 states/eV per cell. Its formation energy from raw total energies is -1.94 eV per atom. Its space group is C2/m (12).

***

No. 9
## SmPaS6 (PBE)

Data for an optimized crystal structure of SmPaS6.

Geometry as extended XYZ:
```
8
Lattice="6.096 1.363 -0.017 4.592 5.677 -0.144 3.496 2.024 6.949" Properties=species:S:1:pos:R:3 pbc="T T T"
Sm 0.000 0.000 0.000
Pa 7.092 4.532 3.394
S 5.560 3.124 5.135
S 12.088 7.999 5.005
S 5.375 3.589 1.648
S 2.096 1.065 1.782
S 8.624 5.940 1.652
S 8.809 5.475 5.139
```

Its formation energy from raw total energies is -1.20 eV per atom. Its space group is P-1 (2).

***

No. 10
## SmPaS2 (PBE)

Data for an optimized crystal structure of SmPaS2.

Geometry as extended XYZ:
```
4
Lattice="-2.146 -0.013 -3.276 -3.477 -1.803 -0.056 -4.787 4.953 0.776" Properties=species:S:1:pos:R:3 pbc="T T T"
S -7.793 2.325 -1.927
S -2.618 0.813 -0.629
Pa -5.205 1.569 -1.278
Sm 0.000 0.000 0.000
```

For the density of states at the Fermi level, the calculation gives 4.6 states/eV per cell. Its formation energy from raw total energies is -1.78 eV per atom. Its polymorph energy (0 for the lowest one) is 0.000 eV/atom. Its space group is R-3m (166).

***

No. 11
## SmPaS4 (PBE)

Data for an optimized crystal structure of SmPaS4.

Geometry as extended XYZ:
```
6
Lattice="4.187 0.000 0.000 0.000 6.336 0.004 0.000 -0.120 6.335" Properties=species:S:1:pos:R:3 pbc="T T T"
Sm 2.094 0.000 0.000
Pa 0.000 3.108 3.169
S 0.000 1.277 1.302
S 0.000 4.939 5.037
S 2.094 4.299 2.002
S 2.094 1.917 4.337
```

Its formation energy from raw total energies is -1.69 eV per atom. Its polymorph energy (0 for the lowest one) is 0.000 eV/atom. Its space group is Cmmm (65).

***

No. 12
## Sm2Pa3S8 (PBE)

Data for an optimized crystal structure of Sm2Pa3S8.

Geometry as extended XYZ:
```
13
Lattice="-2.054 1.470 -4.044 7.887 -2.031 -4.744 -6.207 -5.196 1.264" Properties=species:S:1:pos:R:3 pbc="T T T"
Sm -2.246 -2.612 -2.619
Sm 1.872 -3.146 -4.905
Pa -1.027 0.735 -2.022
Pa -4.108 -5.736 0.002
Pa 5.788 -1.491 -3.482
S 3.388 -2.539 -2.644
S -3.762 -3.218 -4.880
S -2.569 0.059 -4.296
S 2.195 -5.816 -3.228
S -0.695 -4.523 -4.101
S -4.804 -3.464 -1.629
S 4.430 -2.293 -5.895
S 0.322 -1.235 -3.423
```

For the density of states at the Fermi level, the calculation gives 11.4 states/eV per cell. Its formation energy from raw total energies is -1.72 eV per atom. Its polymorph energy (0 for the lowest one) is 0.000 eV/atom. Its space group is Cmmm (65).